No. 1
Computed, not measured: TlGaPdPtSe after structural relaxation at the PBE-GGA level of DFT.

abc: 7.5102 3.7929 7.7779
angles: 90.00 103.70 90.00
Atoms (fractional coordinates):
Tl  0.4440  0.0000  0.3589
Tl  0.4440  0.5000  0.8589
Ga  0.8078  0.0000  0.8234
Ga  0.8078  0.5000  0.3234
Pd  0.9531  0.0000  0.5502
Pd  0.9531  0.5000  0.0502
Pt  0.6967  0.0000  0.1114
Pt  0.6967  0.5000  0.6114
Se  0.1592  0.0000  0.9972
Se  0.1592  0.5000  0.4972

Summary:
- Energy above the lowest structure with this stoichiometry: 0.085 eV/atom
- Formation energy (no corrections): -27 kJ per mole of atoms



No. 2
Computed, not measured: TlGaPdPtSe after structural relaxation at the PBE-GGA level of DFT.

abc: 3.7903 5.0287 6.1430
angles: 75.89 72.14 90.00
Atoms (fractional coordinates):
Tl  0.6744  0.4992  0.1859
Ga  0.8697  0.1332  0.8011
Pd  0.2130  0.0387  0.1158
Pt  0.4096  0.4662  0.7210
Se  0.9967  0.8019  0.5464

Summary:
- Energy above the lowest structure with this stoichiometry: 0.036 eV/atom
- Formation energy (no corrections): -31 kJ per mole of atoms



No. 3
Computed, not measured: TlGaPdPtSe after structural relaxation at the PBE-GGA level of DFT.

abc: 3.7665 4.7108 6.3437
angles: 104.12 92.19 99.20
Atoms (fractional coordinates):
Tl  0.7648  0.4520  0.6431
Ga  0.1464  0.8917  0.3257
Pd  0.1845  0.0209  0.7256
Pt  0.6394  0.8777  0.0580
Se  0.4282  0.3629  0.1016

Summary:
- Energy above the lowest structure with this stoichiometry: 0.130 eV/atom
- Formation energy (no corrections): -22 kJ per mole of atoms



No. 4
Computed, not measured: Sm2Ga4Pd3Pt after structural relaxation at the PBE-GGA level of DFT.

abc: 4.3533 4.3533 10.1205
angles: 90.00 90.00 90.00
Atoms (fractional coordinates):
Sm  0.5000  0.0000  0.2503
Sm  0.0000  0.5000  0.7497
Ga  0.5000  0.5000  0.0000
Ga  0.0000  0.0000  0.0000
Ga  0.5000  0.0000  0.6288
Ga  0.0000  0.5000  0.3712
Pd  0.0000  0.0000  0.5000
Pd  0.5000  0.0000  0.8710
Pd  0.0000  0.5000  0.1290
Pt  0.5000  0.5000  0.5000

Summary:
- Formation energy: -0.836 eV per atom



No. 5
Computed, not measured: SmGa4PdPt2 after structural relaxation at the PBE-GGA level of DFT.

abc: 4.3130 4.3130 9.1206
angles: 76.32 76.32 60.00
Atoms (fractional coordinates):
Sm  0.0000  0.0000  0.0000
Ga  0.3983  0.3983  0.8050
Ga  0.8686  0.8686  0.3943
Ga  0.1314  0.1314  0.6057
Ga  0.6017  0.6017  0.1950
Pd  0.5000  0.5000  0.5000
Pt  0.7596  0.7596  0.7212
Pt  0.2404  0.2404  0.2788

Summary:
- Formation energy: -0.710 eV per atom



No. 6
Computed, not measured: Sm2Ga4PdPt3 after structural relaxation at the PBE-GGA level of DFT.

abc: 4.2321 4.2321 10.6792
angles: 90.00 90.00 90.00
Atoms (fractional coordinates):
Sm  0.5000  0.0000  0.2447
Sm  0.0000  0.5000  0.7553
Ga  0.5000  0.5000  0.0000
Ga  0.0000  0.0000  0.0000
Ga  0.5000  0.0000  0.6318
Ga  0.0000  0.5000  0.3682
Pd  0.5000  0.5000  0.5000
Pt  0.0000  0.0000  0.5000
Pt  0.5000  0.0000  0.8646
Pt  0.0000  0.5000  0.1354

Summary:
- Formation energy: -0.940 eV per atom



No. 7
Computed, not measured: SmGa2PdPt5 after structural relaxation at the PBE-GGA level of DFT.

abc: 4.0398 4.0398 9.7999
angles: 90.00 90.00 90.00
Atoms (fractional coordinates):
Sm  0.0000  0.0000  0.5000
Ga  0.5000  0.5000  0.1235
Ga  0.5000  0.5000  0.8765
Pd  0.0000  0.0000  0.0000
Pt  0.0000  0.5000  0.2737
Pt  0.5000  0.0000  0.2737
Pt  0.0000  0.5000  0.7263
Pt  0.5000  0.0000  0.7263
Pt  0.5000  0.5000  0.5000

Summary:
- Formation energy: -0.564 eV per atom



No. 8
Computed, not measured: Sm2Ga3PdPt4 after structural relaxation at the PBE-GGA level of DFT.

abc: 4.0661 4.0661 11.5550
angles: 90.00 90.00 90.00
Atoms (fractional coordinates):
Sm  0.5000  0.0000  0.2563
Sm  0.0000  0.5000  0.7437
Ga  0.0000  0.0000  0.5000
Ga  0.5000  0.0000  0.8697
Ga  0.0000  0.5000  0.1303
Pd  0.5000  0.5000  0.5000
Pt  0.5000  0.5000  0.0000
Pt  0.0000  0.0000  0.0000
Pt  0.5000  0.0000  0.6563
Pt  0.0000  0.5000  0.3437

Summary:
- Formation energy: -0.920 eV per atom



No. 9
Computed, not measured: SrGa3PdPt after structural relaxation at the PBE-GGA level of DFT.

abc: 6.5095 6.5854 7.0250
angles: 117.95 90.00 90.00
Atoms (fractional coordinates):
Sr  0.7500  0.2452  0.4903
Sr  0.2500  0.7548  0.5097
Ga  0.2500  0.3049  0.6099
Ga  0.0000  0.2058  0.0000
Ga  0.5000  0.7942  0.0000
Ga  0.5000  0.2058  0.0000
Ga  0.0000  0.7942  0.0000
Ga  0.7500  0.6951  0.3901
Pd  0.2500  0.4962  0.9924
Pd  0.7500  0.5038  0.0076
Pt  0.2500  0.1145  0.2290
Pt  0.7500  0.8855  0.7710

Summary:
- Formation energy: -0.575 eV per atom



No. 10
Computed, not measured: Sr3Ga4Pd2Pt2 after structural relaxation at the PBE-GGA level of DFT.

abc: 4.3795 4.3795 15.7952
angles: 90.00 90.00 120.00
Atoms (fractional coordinates):
Sr  0.0000  0.0000  0.7195
Sr  0.0000  0.0000  0.0000
Sr  0.0000  0.0000  0.2805
Ga  0.6667  0.3333  0.1423
Ga  0.3333  0.6667  0.8577
Ga  0.6667  0.3333  0.5670
Ga  0.3333  0.6667  0.4330
Pd  0.6667  0.3333  0.4070
Pd  0.3333  0.6667  0.5930
Pt  0.6667  0.3333  0.8611
Pt  0.3333  0.6667  0.1389

Summary:
- Formation energy: -0.695 eV per atom



No. 11
Computed, not measured: SrGa2Pd2Pt after structural relaxation at the PBE-GGA level of DFT.

abc: 4.7750 4.7750 5.7548
angles: 90.00 90.00 90.00
Atoms (fractional coordinates):
Sr  0.0000  0.0000  0.5000
Ga  0.5000  0.0000  0.0000
Ga  0.0000  0.5000  0.0000
Pd  0.5000  0.5000  0.7540
Pd  0.5000  0.5000  0.2460
Pt  0.0000  0.0000  0.0000

Summary:
- Formation energy: -0.514 eV per atom



No. 12
Computed, not measured: Sr2Ga3Pd4Pt after structural relaxation at the PBE-GGA level of DFT.

abc: 4.3324 4.3324 10.8249
angles: 90.00 90.00 90.00
Atoms (fractional coordinates):
Sr  0.5000  0.0000  0.2573
Sr  0.0000  0.5000  0.7427
Ga  0.0000  0.0000  0.5000
Ga  0.5000  0.0000  0.8768
Ga  0.0000  0.5000  0.1232
Pd  0.5000  0.5000  0.0000
Pd  0.0000  0.0000  0.0000
Pd  0.5000  0.0000  0.6471
Pd  0.0000  0.5000  0.3529
Pt  0.5000  0.5000  0.5000

Summary:
- Formation energy: -0.672 eV per atom



no.,size of the total moment (μB per formula unit)
1,0.0
2,0.0
3,0.0
4,0.0
5,0.0
6,0.0
7,0.0
8,0.0
9,0.0
10,0.0
11,0.0
12,0.0